# 1
The following is a DFT calculation (GGA-PBE) of crystalline Mg8Ga3Sn2 at its relaxed geometry.

a b c (Å): 5.4497 8.1006 8.6760
angles (deg): 117.83 102.23 90.00
With the nearest neighbours (Å) after each atom.
Element x y z (fractional)
Mg: 0.0557 0.6066 0.2132  2 Sn 2.90-3.19, 2 Ga 3.01, 3 Mg 3.15-3.18
Mg: 0.9443 0.3934 0.7868  2 Sn 2.90-3.19, 2 Ga 3.01, 3 Mg 3.15-3.18
Mg: 0.9245 0.1501 0.3001  3 Ga 2.85-2.86, 1 Sn 2.88, 4 Mg 3.14
Mg: 0.0755 0.8499 0.6999  3 Ga 2.85-2.86, 1 Sn 2.88, 4 Mg 3.14
Mg: 0.5809 0.6648 0.7138  2 Ga 2.76-2.81, 2 Sn 2.82-2.99
Mg: 0.5809 0.0489 0.7138  2 Ga 2.76-2.81, 2 Sn 2.82-2.99
Mg: 0.4191 0.9511 0.2862  2 Ga 2.76-2.81, 2 Sn 2.82-2.99
Mg: 0.4191 0.3352 0.2862  2 Ga 2.76-2.81, 2 Sn 2.82-2.99
Ga: 0.5000 0.0000 0.0000  6 Mg 2.81-2.85, 4 Ga 3.11
Ga: 0.0000 0.1847 0.0000  6 Mg 2.76-3.01, 1 Ga 2.99
Ga: 0.0000 0.8153 0.0000  6 Mg 2.76-3.01, 1 Ga 2.99
Sn: 0.3527 0.3023 0.6046  6 Mg 2.82-2.99
Sn: 0.6473 0.6977 0.3954  6 Mg 2.82-2.99

ΔE to the lowest computed polymorph	127.8	kJ/mol of formula units
total DFT energy (no corrections)	-30.1	eV per formula unit
formation energy from the elements	-0.02	eV per atom
DOS at the Fermi energy	3.71	states/eV per cell
total moment	0.00	Bohr magnetons per cell


# 2
The following is a DFT calculation (GGA-PBE) of crystalline Ca2Ti2O5 at its relaxed geometry.

a b c (Å): 3.9473 5.3340 10.6349
angles (deg): 90.00 90.00 90.00
With the nearest neighbours (Å) after each atom.
Element x y z (fractional)
Ca: 0.0000 0.7388 0.3846  6 O 2.38-2.65
Ca: 0.0000 0.2612 0.6154  6 O 2.38-2.65
Ca: 0.0000 0.2388 0.1154  6 O 2.38-2.65
Ca: 0.0000 0.7612 0.8846  6 O 2.38-2.65
Ti: 0.5000 0.7279 0.1284  5 O 1.92-1.99
Ti: 0.5000 0.2721 0.8716  5 O 1.92-1.99
Ti: 0.5000 0.7721 0.6284  5 O 1.92-1.99
Ti: 0.5000 0.2279 0.3716  5 O 1.92-1.99
O: 0.5000 0.0000 0.0000  2 Ti 1.99
O: 0.5000 0.6042 0.7882  2 Ti 1.92-1.98
O: 0.5000 0.1042 0.7118  2 Ti 1.92-1.98
O: 0.5000 0.8958 0.2882  2 Ti 1.92-1.98
O: 0.0000 0.7883 0.6134  2 Ti 1.98
O: 0.0000 0.2117 0.3866  2 Ti 1.98
O: 0.5000 0.3958 0.2118  2 Ti 1.92-1.98
O: 0.0000 0.7117 0.1134  2 Ti 1.98
O: 0.5000 0.5000 0.5000  2 Ti 1.99
O: 0.0000 0.2883 0.8866  2 Ti 1.98

ΔE to the lowest computed polymorph	11.0	kJ/mol of formula units
total DFT energy (no corrections)	-70.6	eV per formula unit
DOS at the Fermi energy	6.98	states/eV per cell
total moment	0.00	Bohr magnetons per cell


> What is the formula in the first record?

Mg8Ga3Sn2